Computed, not measured: LaZnW2 at its PBEsol-relaxed geometry at the SCAN level of DFT.

Computed properties:
Raw total energy ... -193.20 eV/cell
M_tot ... 0.0 μB per cell
ΔH_f (0 K) ... 0.70 eV/atom

Cell and atoms, written as extended XYZ:
```
4
Lattice="-1.641 2.108 -0.294 -3.562 -2.360 2.960 4.706 2.367 2.986" Properties=species:S:1:pos:R:3 pbc="T T T"
La -0.821 1.054 -0.147
W -1.658 0.879 3.270
W 1.160 1.236 2.381
Zn -1.781 -1.180 1.480
```

Computed, not measured: La5Co at its PBEsol-relaxed geometry at the SCAN level of DFT.

Computed properties:
Raw total energy ... -232.55 eV/cell
ΔE to the lowest computed polymorph ... 0.0000 eV/atom
M_tot ... 0.0 μB per cell
ΔH_f (0 K) ... 0.05 eV/atom

Cell and atoms, written as extended XYZ:
```
6
Lattice="3.706 0.000 0.000 -1.853 6.029 0.000 0.000 -2.495 7.954" Properties=species:S:1:pos:R:3 pbc="T T T"
Co 0.000 0.000 0.000
La 0.000 4.333 0.910
La 1.853 1.372 2.496
La 0.000 -1.247 3.977
La 0.000 2.162 5.459
La 1.853 -0.799 7.045
```

Computed, not measured: MoSe3N at its PBEsol-relaxed geometry at the SCAN level of DFT.

Computed properties:
Raw total energy ... -99.13 eV/cell
M_tot ... 2.9 μB per cell

Cell and atoms, written as extended XYZ:
```
5
Lattice="-4.091 1.764 -1.951 -2.607 -3.199 2.574 -0.349 3.211 3.637" Properties=species:S:1:pos:R:3 pbc="T T T"
Mo 0.000 0.000 0.000
Se -1.304 -1.600 1.287
Se -0.175 1.605 1.818
Se -2.046 0.882 -0.975
N -3.524 0.888 2.130
```

Computed, not measured: NaScRe3 at its PBEsol-relaxed geometry at the SCAN level of DFT.

Computed properties:
Raw total energy ... -218.82 eV/cell
M_tot ... 2.7 μB per cell
ΔH_f (0 K) ... 2.59 eV/atom

Cell and atoms, written as extended XYZ:
```
5
Lattice="4.628 0.000 0.000 0.000 4.628 0.000 0.000 0.000 4.628" Properties=species:S:1:pos:R:3 pbc="T T T"
Sc 0.000 0.000 0.000
Re 0.000 2.314 0.000
Re 0.000 0.000 2.314
Re 2.314 0.000 0.000
Na 2.314 2.314 2.314
```

Computed, not measured: LiSiTe2 at its PBEsol-relaxed geometry at the SCAN level of DFT.

Computed properties:
Raw total energy ... -88.08 eV/cell
ΔE to the lowest computed polymorph ... 0.0000 eV/atom
M_tot ... 0.0 μB per cell

Cell and atoms, written as extended XYZ:
```
4
Lattice="3.921 0.000 0.000 1.961 3.396 0.000 1.961 1.132 6.907" Properties=species:S:1:pos:R:3 pbc="T T T"
Si 3.921 2.264 3.454
Te 5.882 3.396 5.049
Te 1.961 1.132 1.859
Li 0.000 0.000 0.000
```

Computed, not measured: AlAg2Pt at its PBEsol-relaxed geometry at the SCAN level of DFT.

Computed properties:
Raw total energy ... -142.17 eV/cell
ΔE to the lowest computed polymorph ... 0.0000 eV/atom
M_tot ... 0.0 μB per cell
ΔH_f (0 K) ... -0.37 eV/atom

Cell and atoms, written as extended XYZ:
```
4
Lattice="2.877 0.000 0.000 0.000 4.532 -0.020 -1.439 -1.458 4.735" Properties=species:S:1:pos:R:3 pbc="T T T"
Ag 0.000 0.404 2.477
Ag 1.439 2.669 2.238
Pt 1.439 0.000 0.000
Al 0.000 2.266 -0.010
```